An optimized crystal structure of K2TiCu, computed with PBE-GGA.

```
K2TiCu
1.0
12.118 0.000 0.000
0.000 12.118 0.000
0.000 0.000 4.990
K Ti Cu
8 4 4
Direct
0.097 0.250 0.125
0.250 0.597 0.375
0.250 0.903 0.875
0.403 0.250 0.625
0.597 0.750 0.625
0.750 0.097 0.875
0.750 0.403 0.375
0.903 0.750 0.125
0.000 0.000 0.500
0.000 0.500 0.750
0.500 0.000 0.250
0.500 0.500 0.000
0.000 0.000 0.000
0.000 0.500 0.250
0.500 0.000 0.750
0.500 0.500 0.500
```

SG: I-42d
E above lowest polymorph, eV/atom: 0.0000
Magnetic moment, μB per cell: 11.88
DFT formation energy, eV per atom: 0.892